# 1
The following is a DFT calculation (GGA-PBE) of crystalline Be2ZnAs at its relaxed geometry.

The space group is F-43m (No. 216) and the conventional cell measures 6.019, 6.019 and 6.019 Å, with angles of 90.00, 90.00 and 90.00 degrees. The distinct sites, in fractional coordinates, are Be at (0.000, 0.000, 0.000), Be at (0.250, 0.250, 0.250), Zn at (0.250, 0.250, 0.750) and As at (0.000, 0.000, 0.500).

# 2
The following is a DFT calculation (GGA-PBE) of crystalline ZrBeAs at its relaxed geometry.

For the magnetization, the calculation gives 0.00 μB per formula unit.

The space group is F-43m (No. 216) and the conventional cell measures 5.824, 5.824 and 5.824 Å, with angles of 90.00, 90.00 and 90.00 degrees. The distinct sites, in fractional coordinates, are Zr at (0.000, 0.000, 0.000), Be at (0.250, 0.250, 0.750) and As at (0.000, 0.000, 0.500).

# 3
The following is a DFT calculation (GGA-PBE) of crystalline ZrBeAs at its relaxed geometry.

For the magnetization, the calculation gives 0.00 μB per formula unit.

The space group is F-43m (No. 216) and the conventional cell measures 6.193, 6.193 and 6.193 Å, with angles of 90.00, 90.00 and 90.00 degrees. The distinct sites, in fractional coordinates, are Zr at (0.000, 0.000, 0.000), Be at (0.250, 0.250, 0.250) and As at (0.250, 0.250, 0.750).

# 4
The following is a DFT calculation (GGA-PBE) of crystalline Hf4Bi2AsC at its relaxed geometry.

For the magnetization, the calculation gives 0.00 μB per formula unit.

The space group is P-3m1 (No. 164) and the conventional cell measures 3.6254, 3.6254 and 14.3384 Å, with angles of 90.00, 90.00 and 120.00 degrees. The distinct sites, in fractional coordinates, are Hf at (0.3333, 0.6667, 0.1096), Hf at (0.3333, 0.6667, 0.4215), Bi at (0.3333, 0.6667, 0.7378), As at (0.0000, 0.0000, 0.0000) and C at (0.0000, 0.0000, 0.5000).

# 5
The following is a DFT calculation (GGA-PBE) of crystalline BiMo4AsC2 at its relaxed geometry.

For the magnetization, the calculation gives 0.01 μB per formula unit.

The space group is P-6m2 (No. 187) and the conventional cell measures 3.2662, 3.2662 and 12.9402 Å, with angles of 90.00, 90.00 and 120.00 degrees. The distinct sites, in fractional coordinates, are Bi at (0.0000, 0.0000, 0.0000), Mo at (0.0000, 0.0000, 0.3565), Mo at (0.3333, 0.6667, 0.1936), As at (0.3333, 0.6667, 0.5000) and C at (0.6667, 0.3333, 0.2654).

# 6
The following is a DFT calculation (GGA-PBE) of crystalline Nb4BiAsC2 at its relaxed geometry.

For the magnetization, the calculation gives 0.00 μB per formula unit.

The space group is P-6m2 (No. 187) and the conventional cell measures 3.3584, 3.3584 and 12.9095 Å, with angles of 90.00, 90.00 and 120.00 degrees. The distinct sites, in fractional coordinates, are Nb at (0.0000, 0.0000, 0.1434), Nb at (0.6667, 0.3333, 0.3169), Bi at (0.0000, 0.0000, 0.5000), As at (0.6667, 0.3333, 0.0000) and C at (0.3333, 0.6667, 0.2345).

What electronic total energy values result from the calculations? In sequence: -43.8; -67.5; -65.3; -65.8; -69.8; -70.9 eV per cell.